(1)
A plane-wave DFT calculation with GGA-PBE was carried out for crystalline Pm3Y4Ho2 at its relaxed geometry.

Cell lengths 6.200, 6.208, 9.502 Å; angles 109.02, 90.00, 119.95 degrees
Atoms (fractional coordinates):
Pm 0.000 0.000 0.000
Pm 0.442 0.555 0.334
Pm 0.558 0.445 0.666
Y 0.111 0.889 0.334
Y 0.334 0.668 0.000
Y 0.666 0.332 0.000
Y 0.889 0.111 0.666
Ho 0.222 0.777 0.666
Ho 0.778 0.223 0.334

Summary:
Energy above the most stable polymorph in this dataset, meV per atom: 0
Crystal system: triclinic
N(E_F), states/eV per atom: 1.411

---

(2)
A plane-wave DFT calculation with GGA-PBE was carried out for crystalline Pm2YHo4 at its relaxed geometry.

Cell lengths 6.088, 8.392, 9.525 Å; angles 88.40, 78.62, 72.53 degrees
Atoms (fractional coordinates):
Pm 0.000 0.000 0.000
Pm 0.004 0.887 0.356
Pm 0.155 0.490 0.494
Pm 0.263 0.044 0.627
Y 0.114 0.554 0.125
Y 0.903 0.418 0.847
Ho 0.272 0.155 0.266
Ho 0.360 0.628 0.774
Ho 0.463 0.208 0.908
Ho 0.547 0.779 0.068
Ho 0.596 0.687 0.421
Ho 0.669 0.361 0.200
Ho 0.718 0.264 0.552
Ho 0.803 0.837 0.715

Summary:
Energy above the most stable polymorph in this dataset, meV per atom: 20
Crystal system: triclinic
N(E_F), states/eV per atom: 1.682

---

(3)
A plane-wave DFT calculation with GGA-PBE was carried out for crystalline Pm8Y2Ho3 at its relaxed geometry.

Cell lengths 6.162, 6.782, 12.018 Å; angles 87.49, 76.33, 63.69 degrees
Atoms (fractional coordinates):
Pm 0.124 0.091 0.323
Pm 0.246 0.374 0.738
Pm 0.272 0.689 0.112
Pm 0.348 0.830 0.803
Pm 0.652 0.170 0.197
Pm 0.728 0.311 0.888
Pm 0.754 0.626 0.262
Pm 0.876 0.909 0.677
Y 0.230 0.574 0.429
Y 0.770 0.426 0.571
Ho 0.193 0.227 0.034
Ho 0.500 0.000 0.500
Ho 0.807 0.773 0.966

Summary:
Energy above the most stable polymorph in this dataset, meV per atom: 0
Crystal system: triclinic
N(E_F), states/eV per atom: 1.562

---

(4)
A plane-wave DFT calculation with GGA-PBE was carried out for crystalline Pm12YHo2 at its relaxed geometry.

Cell lengths 6.804, 6.804, 24.905 Å; angles 90.00, 90.00, 116.37 degrees
Atoms (fractional coordinates):
Pm 0.001 0.501 0.130
Pm 0.001 0.999 0.924
Pm 0.019 0.519 0.586
Pm 0.024 0.976 0.440
Pm 0.250 0.250 0.199
Pm 0.250 0.250 0.325
Pm 0.250 0.250 0.675
Pm 0.250 0.250 0.801
Pm 0.476 0.524 0.440
Pm 0.481 0.981 0.586
Pm 0.499 0.501 0.924
Pm 0.499 0.999 0.130
Pm 0.501 0.001 0.870
Pm 0.501 0.499 0.076
Pm 0.519 0.019 0.414
Pm 0.524 0.476 0.560
Pm 0.750 0.750 0.199
Pm 0.750 0.750 0.325
Pm 0.750 0.750 0.675
Pm 0.750 0.750 0.801
Pm 0.976 0.024 0.560
Pm 0.981 0.481 0.414
Pm 0.999 0.001 0.076
Pm 0.999 0.499 0.870
Y 0.250 0.750 0.001
Y 0.750 0.250 0.999
Ho 0.250 0.750 0.271
Ho 0.250 0.750 0.733
Ho 0.750 0.250 0.267
Ho 0.750 0.250 0.729

Summary:
Crystal system: orthorhombic
N(E_F), states/eV per atom: 1.526

---

(5)
A plane-wave DFT calculation with GGA-PBE was carried out for crystalline PmYHo4 at its relaxed geometry.

Cell lengths 6.574, 6.574, 6.574 Å; angles 60.00, 60.00, 60.00 degrees
Atoms (fractional coordinates):
Pm 0.000 0.000 0.000
Y 0.750 0.750 0.750
Ho 0.375 0.375 0.375
Ho 0.375 0.375 0.874
Ho 0.375 0.874 0.375
Ho 0.874 0.375 0.375

Summary:
Energy above the most stable polymorph in this dataset, meV per atom: 251
Crystal system: cubic
N(E_F), states/eV per atom: 1.952

---

(6)
A plane-wave DFT calculation with GGA-PBE was carried out for crystalline Pm3Y3Ho5 at its relaxed geometry.

Cell lengths 9.623, 9.623, 5.530 Å; angles 90.00, 90.00, 120.00 degrees
Atoms (fractional coordinates):
Pm 0.000 0.634 0.000
Pm 0.366 0.366 0.000
Pm 0.634 0.000 0.000
Y 0.000 0.453 0.500
Y 0.453 0.000 0.500
Y 0.547 0.547 0.500
Ho 0.000 0.269 0.000
Ho 0.269 0.000 0.000
Ho 0.333 0.667 0.000
Ho 0.667 0.333 0.000
Ho 0.731 0.731 0.000

Summary:
Crystal system: hexagonal
N(E_F), states/eV per atom: 1.604

---

(7)
A plane-wave DFT calculation with GGA-PBE was carried out for crystalline Pm3Y2Ho5 at its relaxed geometry.

Cell lengths 9.531, 9.531, 9.483 Å; angles 108.41, 108.41, 111.60 degrees
Atoms (fractional coordinates):
Pm 0.021 0.270 0.048
Pm 0.232 0.768 0.750
Pm 0.270 0.021 0.548
Pm 0.730 0.979 0.452
Pm 0.768 0.232 0.250
Pm 0.979 0.730 0.952
Y 0.229 0.467 0.453
Y 0.467 0.229 0.953
Y 0.533 0.771 0.047
Y 0.771 0.533 0.547
Ho 0.024 0.976 0.750
Ho 0.145 0.375 0.769
Ho 0.271 0.729 0.250
Ho 0.375 0.145 0.269
Ho 0.471 0.529 0.250
Ho 0.529 0.471 0.750
Ho 0.625 0.855 0.731
Ho 0.729 0.271 0.750
Ho 0.855 0.625 0.231
Ho 0.976 0.024 0.250

Summary:
Energy above the most stable polymorph in this dataset, meV per atom: 0
Crystal system: monoclinic
N(E_F), states/eV per atom: 1.836

---

(8)
A plane-wave DFT calculation with GGA-PBE was carried out for crystalline Pm3Y2Ho7 at its relaxed geometry.

Cell lengths 5.821, 3.559, 18.806 Å; angles 90.00, 93.10, 90.00 degrees
Atoms (fractional coordinates):
Pm 0.000 0.000 0.000
Pm 0.277 0.500 0.632
Pm 0.723 0.500 0.368
Y 0.211 0.000 0.292
Y 0.789 0.000 0.708
Ho 0.191 0.500 0.143
Ho 0.243 0.000 0.463
Ho 0.307 0.000 0.824
Ho 0.500 0.500 0.000
Ho 0.693 0.000 0.176
Ho 0.757 0.000 0.537
Ho 0.809 0.500 0.857

Summary:
Energy above the most stable polymorph in this dataset, meV per atom: 4
Crystal system: monoclinic
N(E_F), states/eV per atom: 1.271

---

(9)
A plane-wave DFT calculation with GGA-PBE was carried out for crystalline PmY3Ho3 at its relaxed geometry.

Cell lengths 6.322, 6.322, 6.322 Å; angles 102.62, 102.62, 102.62 degrees
Atoms (fractional coordinates):
Pm 0.000 0.000 0.000
Y 0.453 0.853 0.853
Y 0.853 0.453 0.853
Y 0.853 0.853 0.453
Ho 0.060 0.411 0.411
Ho 0.411 0.060 0.411
Ho 0.411 0.411 0.060

Summary:
Energy above the most stable polymorph in this dataset, meV per atom: 105
Crystal system: trigonal
N(E_F), states/eV per atom: 1.591

---

(10)
A plane-wave DFT calculation with GGA-PBE was carried out for crystalline Pm3YHo2 at its relaxed geometry.

Cell lengths 9.684, 3.568, 11.597 Å; angles 90.00, 94.16, 90.00 degrees
Atoms (fractional coordinates):
Pm 0.076 0.250 0.120
Pm 0.241 0.250 0.860
Pm 0.401 0.250 0.603
Pm 0.599 0.750 0.397
Pm 0.759 0.750 0.140
Pm 0.924 0.750 0.880
Y 0.241 0.750 0.355
Y 0.759 0.250 0.645
Ho 0.081 0.750 0.620
Ho 0.441 0.250 0.144
Ho 0.559 0.750 0.856
Ho 0.919 0.250 0.380

Summary:
Energy above the most stable polymorph in this dataset, meV per atom: 65
Crystal system: monoclinic
N(E_F), states/eV per atom: 1.491

---

(11)
A plane-wave DFT calculation with GGA-PBE was carried out for crystalline Pm6Y3Ho2 at its relaxed geometry.

Cell lengths 32.301, 32.301, 32.301 Å; angles 6.40, 6.40, 6.40 degrees
Atoms (fractional coordinates):
Pm 0.091 0.091 0.091
Pm 0.182 0.182 0.182
Pm 0.364 0.364 0.364
Pm 0.636 0.636 0.636
Pm 0.818 0.818 0.818
Pm 0.909 0.909 0.909
Y 0.000 0.000 0.000
Y 0.273 0.273 0.273
Y 0.727 0.727 0.727
Ho 0.454 0.454 0.454
Ho 0.546 0.546 0.546

Summary:
Energy above the most stable polymorph in this dataset, meV per atom: 0
Crystal system: trigonal
N(E_F), states/eV per atom: 1.203

---

(12)
A plane-wave DFT calculation with GGA-PBE was carried out for crystalline Pm6YHo12 at its relaxed geometry.

Cell lengths 8.652, 8.652, 8.652 Å; angles 79.70, 79.70, 79.70 degrees
Atoms (fractional coordinates):
Pm 0.268 0.268 0.664
Pm 0.268 0.664 0.268
Pm 0.336 0.732 0.732
Pm 0.664 0.268 0.268
Pm 0.732 0.336 0.732
Pm 0.732 0.732 0.336
Y 0.500 0.500 0.500
Ho 0.014 0.014 0.696
Ho 0.014 0.364 0.364
Ho 0.014 0.696 0.014
Ho 0.304 0.986 0.986
Ho 0.364 0.014 0.364
Ho 0.364 0.364 0.014
Ho 0.636 0.636 0.986
Ho 0.636 0.986 0.636
Ho 0.696 0.014 0.014
Ho 0.986 0.304 0.986
Ho 0.986 0.636 0.636
Ho 0.986 0.986 0.304

Summary:
Energy above the most stable polymorph in this dataset, meV per atom: 0
Crystal system: trigonal
N(E_F), states/eV per atom: 1.557

---

Summary of ΔH_f (0 K) in eV/atom
0.02, 0.07, 0.06, 0.16, 0.26, 0.81, 0.20, 0.09, 0.25, 0.07, 0.01, 0.13
(order as listed above)
Summary of magnetic moment in μB per formula unit
0.00, 0.00, 0.00, 0.00, 1.02, 0.01, 0.00, 0.00, 0.00, 0.00, 0.00, 0.00
(order as listed above)
Summary of E_tot in eV per atom
-5.4561, -4.8269, -4.9103, -4.6834, -4.6609, -4.3295, -4.8107, -4.8458, -5.1654, -4.9056, -5.1737, -4.6058
(order as listed above)